# 1
{"formula": "KZrBe2", "functional": "PBEsol", "state": "optimized geometry", "lattice_angstrom": [[2.9082, 0.0000, 0.0000], [0.0000, 2.9082, 0.0000], [0.0000, 0.0000, 8.8957]], "species": ["K", "Zr", "Be", "Be"], "frac_coords": [[0.0000, 0.0000, 0.0000], [0.5000, 0.5000, 0.3918], [0.0000, 0.0000, 0.5986], [0.5000, 0.5000, 0.6962]], "relative_energy_mev_per_atom": 80, "n_ef_per_ev_atom": 0.737}

***

# 2
{"formula": "GePbSe2Br", "functional": "PBEsol", "state": "optimized geometry", "lattice_angstrom": [[5.3729, 0.0000, 0.0000], [0.0000, 5.3729, 0.0000], [0.0000, 0.0000, 5.4463]], "species": ["Ge", "Pb", "Se", "Se", "Br"], "frac_coords": [[0.0000, 0.0000, 0.0000], [0.5000, 0.5000, 0.5000], [0.0000, 0.5000, 0.5000], [0.5000, 0.0000, 0.5000], [0.5000, 0.5000, 0.0000]], "n_ef_per_ev_atom": 0.408, "formation_energy_uncorrected_ev_per_atom": 0.45}

***

# 3
{"formula": "Cr3W", "functional": "PBEsol", "state": "optimized geometry", "lattice_angstrom": [[2.9219, 0.0000, 0.0000], [0.0000, 4.1357, 0.0000], [0.0000, 0.0000, 8.1942]], "species": ["Cr", "Cr", "Cr", "Cr", "Cr", "Cr", "W", "W"], "frac_coords": [[0.0000, 0.0000, 0.0000], [0.0000, 0.5000, 0.2541], [0.0000, 0.5000, 0.7459], [0.5000, 0.0000, 0.2459], [0.5000, 0.0000, 0.7541], [0.5000, 0.5000, 0.5000], [0.0000, 0.0000, 0.5000], [0.5000, 0.5000, 0.0000]], "n_ef_per_ev_atom": 0.674}

***

# 4
{"formula": "LiCaHg", "functional": "PBEsol", "state": "optimized geometry", "lattice_angstrom": [[3.7200, 0.0000, 0.0000], [0.0000, 3.7200, 0.0000], [0.0000, 0.0000, 10.1086]], "species": ["Li", "Li", "Ca", "Ca", "Hg", "Hg"], "frac_coords": [[0.0000, 0.0000, 0.0000], [0.5000, 0.5000, 0.5000], [0.0000, 0.0000, 0.3011], [0.5000, 0.5000, 0.8011], [0.0000, 0.0000, 0.6257], [0.5000, 0.5000, 0.1257]], "relative_energy_mev_per_atom": 49, "n_ef_per_ev_atom": 0.584}

***

# 5
{"formula": "LaMn2Sb", "functional": "PBEsol", "state": "optimized geometry", "lattice_angstrom": [[3.4743, 0.0000, 0.0000], [0.0000, 3.4743, 0.0000], [0.0000, 0.0000, 6.6796]], "species": ["La", "Mn", "Mn", "Sb"], "frac_coords": [[0.0000, 0.0000, 0.0000], [0.5000, 0.5000, 0.3039], [0.5000, 0.5000, 0.6961], [0.0000, 0.0000, 0.5000]], "n_ef_per_ev_atom": 0.921, "formation_energy_uncorrected_ev_per_atom": 0.22}

***

# 6
{"formula": "Y2RhCl", "functional": "PBEsol", "state": "optimized geometry", "lattice_angstrom": [[3.8814, 0.0000, 0.0000], [-1.9407, 3.3614, 0.0000], [0.0000, 0.0000, 21.7015]], "species": ["Y", "Y", "Y", "Y", "Y", "Y", "Rh", "Rh", "Rh", "Cl", "Cl", "Cl"], "frac_coords": [[0.0000, 0.0000, 0.2357], [0.0000, 0.0000, 0.7643], [0.3333, 0.6667, 0.4309], [0.3333, 0.6667, 0.9024], [0.6667, 0.3333, 0.0976], [0.6667, 0.3333, 0.5691], [0.0000, 0.0000, 0.5000], [0.3333, 0.6667, 0.1667], [0.6667, 0.3333, 0.8333], [0.0000, 0.0000, 0.0000], [0.3333, 0.6667, 0.6667], [0.6667, 0.3333, 0.3333]], "relative_energy_mev_per_atom": 0, "n_ef_per_ev_atom": 0.214, "formation_energy_uncorrected_ev_per_atom": -1.15}

***

# 7
{"formula": "PrOF", "functional": "PBEsol", "state": "optimized geometry", "lattice_angstrom": [[5.6295, 0.0000, 0.0000], [0.0000, 5.6295, 0.0000], [0.0000, 0.0000, 5.6295]], "species": ["Pr", "Pr", "Pr", "Pr", "O", "O", "O", "O", "F", "F", "F", "F"], "frac_coords": [[0.0000, 0.0000, 0.0000], [0.0000, 0.5000, 0.5000], [0.5000, 0.0000, 0.5000], [0.5000, 0.5000, 0.0000], [0.2500, 0.2500, 0.2500], [0.2500, 0.7500, 0.7500], [0.7500, 0.2500, 0.7500], [0.7500, 0.7500, 0.2500], [0.2500, 0.2500, 0.7500], [0.2500, 0.7500, 0.2500], [0.7500, 0.2500, 0.2500], [0.7500, 0.7500, 0.7500]], "n_ef_per_ev_atom": 0.000, "formation_energy_uncorrected_ev_per_atom": -3.74}

***

# 8
{"formula": "HfTc2Ir", "functional": "PBEsol", "state": "optimized geometry", "lattice_angstrom": [[6.2640, 0.0000, 0.0000], [0.0000, 6.2640, 0.0000], [0.0000, 0.0000, 6.2640]], "species": ["Hf", "Hf", "Hf", "Hf", "Tc", "Tc", "Tc", "Tc", "Tc", "Tc", "Tc", "Tc", "Ir", "Ir", "Ir", "Ir"], "frac_coords": [[0.0000, 0.0000, 0.0000], [0.0000, 0.5000, 0.5000], [0.5000, 0.0000, 0.5000], [0.5000, 0.5000, 0.0000], [0.2500, 0.2500, 0.2500], [0.2500, 0.2500, 0.7500], [0.2500, 0.7500, 0.2500], [0.2500, 0.7500, 0.7500], [0.7500, 0.2500, 0.2500], [0.7500, 0.2500, 0.7500], [0.7500, 0.7500, 0.2500], [0.7500, 0.7500, 0.7500], [0.0000, 0.0000, 0.5000], [0.0000, 0.5000, 0.0000], [0.5000, 0.0000, 0.0000], [0.5000, 0.5000, 0.5000]], "n_ef_per_ev_atom": 1.850}

***

# 9
{"formula": "Ta3Pt4", "functional": "PBEsol", "state": "optimized geometry", "lattice_angstrom": [[3.3488, 0.0000, 0.0000], [0.0000, 3.3488, 0.0000], [0.0000, 0.0000, 20.2031]], "species": ["Ta", "Ta", "Ta", "Ta", "Ta", "Ta", "Pt", "Pt", "Pt", "Pt", "Pt", "Pt", "Pt", "Pt"], "frac_coords": [[0.0000, 0.0000, 0.0000], [0.0000, 0.0000, 0.2933], [0.0000, 0.0000, 0.7067], [0.5000, 0.5000, 0.2067], [0.5000, 0.5000, 0.5000], [0.5000, 0.5000, 0.7933], [0.0000, 0.0000, 0.1437], [0.0000, 0.0000, 0.4322], [0.0000, 0.0000, 0.5678], [0.0000, 0.0000, 0.8563], [0.5000, 0.5000, 0.0678], [0.5000, 0.5000, 0.3563], [0.5000, 0.5000, 0.6437], [0.5000, 0.5000, 0.9322]], "n_ef_per_ev_atom": 0.465}

***

# 10
{"formula": "V12P7", "functional": "PBEsol", "state": "optimized geometry", "lattice_angstrom": [[9.2128, 0.0000, 0.0000], [-4.6064, 7.9785, 0.0000], [0.0000, 0.0000, 3.1897]], "species": ["V", "V", "V", "V", "V", "V", "V", "V", "V", "V", "V", "V", "P", "P", "P", "P", "P", "P", "P"], "frac_coords": [[0.0141, 0.2660, 0.0000], [0.1299, 0.6269, 0.0000], [0.2049, 0.1992, 0.5000], [0.2519, 0.9859, 0.0000], [0.3731, 0.5030, 0.0000], [0.4970, 0.8701, 0.0000], [0.5115, 0.1316, 0.5000], [0.6201, 0.4885, 0.5000], [0.7340, 0.7481, 0.0000], [0.8008, 0.0056, 0.5000], [0.8684, 0.3799, 0.5000], [0.9944, 0.7951, 0.5000], [0.0000, 0.0000, 0.0000], [0.1716, 0.4635, 0.5000], [0.2919, 0.8284, 0.5000], [0.4428, 0.2835, 0.0000], [0.5365, 0.7081, 0.5000], [0.7165, 0.1593, 0.0000], [0.8407, 0.5572, 0.0000]], "n_ef_per_ev_atom": 0.493}

***

# 11
{"formula": "Sc3IrSe", "functional": "PBEsol", "state": "optimized geometry", "lattice_angstrom": [[4.9763, 0.0000, 0.0000], [0.0000, 4.9763, 0.0000], [0.0000, 0.0000, 4.9763]], "species": ["Sc", "Sc", "Sc", "Ir", "Se"], "frac_coords": [[0.0000, 0.0000, 0.5000], [0.0000, 0.5000, 0.0000], [0.5000, 0.0000, 0.0000], [0.0000, 0.0000, 0.0000], [0.5000, 0.5000, 0.5000]], "n_ef_per_ev_atom": 0.945, "formation_energy_uncorrected_ev_per_atom": -0.44}

***

# 12
{"formula": "BaSr", "functional": "PBEsol", "state": "optimized geometry", "lattice_angstrom": [[4.3354, 0.0000, 0.0000], [0.0000, 4.3354, 0.0000], [0.0000, 0.0000, 5.9486]], "species": ["Ba", "Sr"], "frac_coords": [[0.0000, 0.0000, 0.0000], [0.5000, 0.5000, 0.5000]], "relative_energy_mev_per_atom": 18, "n_ef_per_ev_atom": 1.373}

***

One value per record, in order, for electronic total energy: -16.0 -16.3 -88.5 -11.7 -28.5 -85.2 -94.3 -171.5 -140.4 -173.5 -35.7 -4.0 eV/cell.
One value per record, in order, for theoretical density: 3.3 5.5 11.4 5.9 7.6 5.6 6.5 15.3 19.4 5.9 5.5 3.3 g/cm³.